DFT (PBE-GGA) results for crystalline CePm2Cd2Sn2 at its relaxed geometry.

Computed properties:
Symmetry: No. 166
DFT formation energy in eV per formula unit: -2.1
Total moment in μB/atom: 0.14
Crystal system: trigonal
DFT total energy in eV for the cell shown: -27.40
Theoretical density in g/cm3: 7.46

Lattice parameters (Å, degrees): 5.013 5.013 9.577 74.83 74.83 60.00
Atoms (fractional coordinates):
Sn: 0.260 0.260 0.219
Sn: 0.740 0.740 0.781
Pm: 0.128 0.128 0.617
Pm: 0.872 0.872 0.383
Ce: 0.000 0.000 0.000
Cd: 0.394 0.394 0.819
Cd: 0.606 0.606 0.181